(1)
Density functional theory data (PBE-GGA) for an optimized crystal structure of Mg12Hg5Pb2.

Properties
The calculated total energy is -1.5383 eV/atom. The calculation puts the formation enthalpy at 0 K at -1.167 eV/f.u. Its total magnetization is 0.0 μB/f.u.

a = 16.0314 Å, b = 6.4639 Å, c = 9.4818 Å
α = 90.00°, β = 104.33°, γ = 90.00°
Space group C2/m (No. 12)
Inequivalent atoms, fractional coordinates:
Mg1 0.0204 0.0000 0.3235
Mg2 0.1086 0.5000 0.3066
Mg3 0.1462 0.2416 0.6033
Mg4 0.1983 0.2455 0.1188
Hg1 0.0000 0.5000 0.5000
Hg2 0.1488 0.0000 0.8595
Hg3 0.2041 0.0000 0.3814
Pb1 0.0000 0.2522 0.0000



(2)
Density functional theory data (PBE-GGA) for an optimized crystal structure of KAs2Cl.

Properties
The calculated total energy is -3.3438 eV/atom. The relative energy among the computed polymorphs is 40.4 kJ per mole of atoms. Its total magnetization is 0.0 μB/f.u. As for the formation energy from raw total energies: -109.2 kJ/mol of formula units.

a = 3.2052 Å, b = 5.7907 Å, c = 6.3665 Å
α = 90.00°, β = 90.00°, γ = 90.00°
Space group Pmmm (No. 47)
Inequivalent atoms, fractional coordinates:
K1 0.0000 0.0000 0.0000
As1 0.5000 0.1962 0.5000
Cl1 0.0000 0.5000 0.0000



(3)
Density functional theory data (PBE-GGA) for an optimized crystal structure of SnPdPt3.

Properties
The calculated total energy is -5.7437 eV/atom. The relative energy among the computed polymorphs is 0.0 kJ per mole of atoms. The calculation puts the formation enthalpy at 0 K at -1.401 eV/f.u. Its total magnetization is 0.0 μB/f.u.

a = 4.8621 Å, b = 5.4911 Å, c = 13.3430 Å
α = 90.00°, β = 110.69°, γ = 90.00°
Space group P2_1/c (No. 14)
Inequivalent atoms, fractional coordinates:
Sn1 0.0341 0.0441 0.3592
Pd1 0.1891 0.5535 0.3564
Pt1 0.2227 0.1780 0.0524
Pt2 0.3855 0.6797 0.0568
Pt3 0.4159 0.5944 0.7489